A relaxed structure of LiZr2Br. Source: Alexandria via LeMat-Bulk, functional PBEsol.

The value obtained for the total energy is -5.30 eV/atom. The calculation puts the density of states at the Fermi level at 4.66 states/eV per cell. The calculation puts the relative energy among the computed polymorphs at 579.4 meV/atom. For the formation energy from raw total energies, the calculation gives 202.9 meV per atom.

Unit cell a=3.9880 b=3.9880 c=5.5952 alpha=110.88 beta=110.88 gamma=90.00
With the nearest neighbours (Å) after each atom.
Atoms (fractional coordinates):
Br (0.5000, 0.5000, 0.0000)  8 Zr 2.82-3.13, 4 Li 3.13
Li (0.2500, 0.7500, 0.5000)  8 Zr 2.82-3.13, 4 Br 3.13
Zr (0.0000, 0.0000, 0.0000)  4 Br 2.82, 4 Li 3.13, 4 Zr 3.13
Zr (0.7500, 0.2500, 0.5000)  4 Li 2.82, 4 Zr 3.13, 4 Br 3.13


A relaxed structure of CoOs5. Source: Alexandria via LeMat-Bulk, functional PBEsol.

The value obtained for the total energy is -11.42 eV/atom. The calculation puts the density of states at the Fermi level at 4.87 states/eV per cell. The formation energy comes out at 0.051 eV/atom. The calculation puts the relative energy among the computed polymorphs at 0.0 meV/atom.

Unit cell a=2.7066 b=4.2574 c=7.1040 alpha=90.00 beta=100.98 gamma=90.00
With the nearest neighbours (Å) after each atom.
Atoms (fractional coordinates):
Co (0.0010, 0.0000, 0.0020)  10 Os 2.62-2.69, 2 Co 2.71
Os (0.2220, 0.5000, 0.4440)  12 Os 2.65-2.73
Os (0.3346, 0.0000, 0.6692)  10 Os 2.65-2.74, 2 Co 2.69
Os (0.5532, 0.5000, 0.1063)  8 Os 2.62-2.72, 4 Co 2.63
Os (0.6639, 0.0000, 0.3278)  10 Os 2.63-2.74, 2 Co 2.64
Os (0.8920, 0.5000, 0.7840)  2 Co 2.62, 10 Os 2.62-2.73


A relaxed structure of ZrAsHPd2. Source: Alexandria via LeMat-Bulk, functional PBEsol.

The value obtained for the total energy is -5.24 eV/atom. The calculation puts the density of states at the Fermi level at 5.53 states/eV per cell.

Unit cell a=4.5402 b=4.5402 c=5.0514 alpha=90.00 beta=90.00 gamma=90.00
With the nearest neighbours (Å) after each atom.
Atoms (fractional coordinates):
H (0.5000, 0.5000, 0.5000)  4 Zr 3.21, 8 Pd 3.40
As (0.0000, 0.0000, 0.0000)  4 Pd 2.27, 2 Zr 2.53
Zr (0.0000, 0.0000, 0.5000)  2 As 2.53
Pd (0.0000, 0.5000, 0.0000)  2 As 2.27
Pd (0.5000, 0.0000, 0.0000)  2 As 2.27


A relaxed structure of MoPt2. Source: Alexandria via LeMat-Bulk, functional PBEsol.

The value obtained for the total energy is -8.88 eV/atom. The calculation puts the density of states at the Fermi level at 7.00 states/eV per cell. The formation energy comes out at -0.319 eV/atom. The calculation puts the relative energy among the computed polymorphs at 81.1 meV/atom.

Unit cell a=4.4768 b=4.7617 c=8.3761 alpha=90.00 beta=90.00 gamma=90.00
With the nearest neighbours (Å) after each atom.
Atoms (fractional coordinates):
Mo (0.7500, 0.8252, 0.1636)  10 Pt 2.73-2.78, 2 Mo 2.79
Mo (0.2500, 0.6748, 0.6636)  10 Pt 2.73-2.78, 2 Mo 2.79
Mo (0.7500, 0.3252, 0.3364)  10 Pt 2.73-2.78, 2 Mo 2.79
Mo (0.2500, 0.1748, 0.8364)  10 Pt 2.73-2.78, 2 Mo 2.79
Pt (0.7500, 0.8305, 0.8338)  7 Pt 2.72-2.83, 5 Mo 2.76-2.77
Pt (0.7500, 0.8254, 0.4959)  7 Pt 2.72-2.83, 5 Mo 2.73-2.78
Pt (0.2500, 0.6746, 0.9959)  7 Pt 2.72-2.83, 5 Mo 2.73-2.78
Pt (0.2500, 0.6695, 0.3338)  7 Pt 2.72-2.83, 5 Mo 2.76-2.77
Pt (0.7500, 0.3305, 0.6662)  7 Pt 2.72-2.83, 5 Mo 2.76-2.77
Pt (0.7500, 0.3254, 0.0041)  7 Pt 2.72-2.83, 5 Mo 2.73-2.78
Pt (0.2500, 0.1746, 0.5041)  7 Pt 2.72-2.83, 5 Mo 2.73-2.78
Pt (0.2500, 0.1695, 0.1662)  7 Pt 2.72-2.83, 5 Mo 2.76-2.77


A relaxed structure of LiCuF4. Source: Alexandria via LeMat-Bulk, functional PBEsol.

The value obtained for the total energy is -4.19 eV/atom. The calculation puts the density of states at the Fermi level at 17.07 states/eV per cell. For the formation energy from raw total energies, the calculation gives -1856.0 meV per atom.

Unit cell a=7.2616 b=7.3307 c=9.8573 alpha=90.00 beta=90.00 gamma=90.00
With the nearest neighbours (Å) after each atom.
Atoms (fractional coordinates):
Li (0.7500, 0.8754, 0.5212)  5 F 2.01-2.07
Li (0.7500, 0.4409, 0.5381)  3 F 2.01-2.07
Li (0.2500, 0.9409, 0.9619)  3 F 2.01-2.07
Li (0.2500, 0.3754, 0.9788)  5 F 2.01-2.07
Li (0.7500, 0.6246, 0.0212)  5 F 2.01-2.07
Li (0.7500, 0.0591, 0.0381)  3 F 2.01-2.07
Li (0.2500, 0.5591, 0.4619)  3 F 2.01-2.07
Li (0.2500, 0.1246, 0.4788)  5 F 2.01-2.07
Cu (0.0026, 0.6210, 0.7425)  6 F 1.78-1.97
Cu (0.4974, 0.6210, 0.7425)  6 F 1.78-1.97
Cu (0.9974, 0.1210, 0.7575)  6 F 1.78-1.97
Cu (0.5026, 0.1210, 0.7575)  6 F 1.78-1.97
Cu (0.0026, 0.8790, 0.2425)  6 F 1.78-1.97
Cu (0.4974, 0.8790, 0.2425)  6 F 1.78-1.97
Cu (0.5026, 0.3790, 0.2575)  6 F 1.78-1.97
Cu (0.9974, 0.3790, 0.2575)  6 F 1.78-1.97
F (0.5770, 0.6614, 0.5700)  1 Cu 1.82
F (0.9230, 0.6614, 0.5700)  1 Cu 1.82
F (0.5760, 0.0669, 0.5901)  1 Cu 1.78
F (0.9240, 0.0669, 0.5901)  1 Cu 1.78
F (0.2500, 0.5912, 0.6644)  2 Cu 1.97, 1 Li 2.01
F (0.2500, 0.1494, 0.6881)  2 Cu 1.97, 1 Li 2.07
F (0.9461, 0.3698, 0.7111)  2 Cu 1.91-1.92
F (0.5539, 0.3698, 0.7111)  2 Cu 1.91-1.92
F (0.0539, 0.8698, 0.7889)  2 Cu 1.91-1.92
F (0.4461, 0.8698, 0.7889)  2 Cu 1.91-1.92
F (0.7500, 0.6494, 0.8119)  2 Cu 1.97, 1 Li 2.07
F (0.7500, 0.0912, 0.8356)  2 Cu 1.97, 1 Li 2.01
F (0.0760, 0.5669, 0.9099)  1 Cu 1.78
F (0.4240, 0.5669, 0.9099)  1 Cu 1.78
F (0.0770, 0.1614, 0.9300)  1 Cu 1.82
F (0.4230, 0.1614, 0.9300)  1 Cu 1.82
F (0.5770, 0.8386, 0.0700)  1 Cu 1.82
F (0.9230, 0.8386, 0.0700)  1 Cu 1.82
F (0.5760, 0.4331, 0.0901)  1 Cu 1.78
F (0.9240, 0.4331, 0.0901)  1 Cu 1.78
F (0.2500, 0.9088, 0.1644)  2 Cu 1.97, 1 Li 2.01
F (0.2500, 0.3506, 0.1881)  2 Cu 1.97, 1 Li 2.07
F (0.5539, 0.1302, 0.2111)  2 Cu 1.91-1.92
F (0.9461, 0.1302, 0.2111)  2 Cu 1.91-1.92
F (0.0539, 0.6302, 0.2889)  2 Cu 1.91-1.92
F (0.4461, 0.6302, 0.2889)  2 Cu 1.91-1.92
F (0.7500, 0.8506, 0.3119)  2 Cu 1.97, 1 Li 2.07
F (0.7500, 0.4088, 0.3356)  2 Cu 1.97, 1 Li 2.01
F (0.0760, 0.9331, 0.4099)  1 Cu 1.78
F (0.4240, 0.9331, 0.4099)  1 Cu 1.78
F (0.0770, 0.3386, 0.4300)  1 Cu 1.82
F (0.4230, 0.3386, 0.4300)  1 Cu 1.82


A relaxed structure of SrTa2Au. Source: Alexandria via LeMat-Bulk, functional PBEsol.

The value obtained for the total energy is -7.01 eV/atom. The calculation puts the density of states at the Fermi level at 7.18 states/eV per cell. The formation energy comes out at 0.708 eV/atom. The calculation puts the relative energy among the computed polymorphs at 243.3 meV/atom.

Unit cell a=3.5603 b=3.5603 c=7.3382 alpha=90.00 beta=90.00 gamma=90.00
With the nearest neighbours (Å) after each atom.
Atoms (fractional coordinates):
Au (0.5000, 0.5000, 0.0000)  8 Ta 2.80
Sr (0.5000, 0.5000, 0.5000)  8 Ta 3.52, 4 Sr 3.56, 2 Au 3.67
Ta (0.0000, 0.0000, 0.8345)  1 Ta 2.43
Ta (0.0000, 0.0000, 0.1655)  1 Ta 2.43


A relaxed structure of LiCu. Source: Alexandria via LeMat-Bulk, functional PBEsol.

The value obtained for the total energy is -3.13 eV/atom. The calculation puts the density of states at the Fermi level at 1.48 states/eV per cell. The formation energy comes out at 0.020 eV/atom.

Unit cell a=2.5225 b=4.6206 c=4.9063 alpha=115.83 beta=104.90 gamma=90.00
With the nearest neighbours (Å) after each atom.
Atoms (fractional coordinates):
Cu (0.1325, 0.4748, 0.2650)  5 Cu 2.48-2.63, 7 Li 2.57-2.70
Cu (0.8675, 0.5252, 0.7350)  5 Cu 2.48-2.63, 7 Li 2.57-2.70
Li (0.6151, 0.9429, 0.2302)  5 Li 2.47-2.68, 7 Cu 2.57-2.70
Li (0.3849, 0.0571, 0.7698)  5 Li 2.47-2.68, 7 Cu 2.57-2.70


A relaxed structure of ScAu2. Source: Alexandria via LeMat-Bulk, functional PBEsol.

The value obtained for the total energy is -5.54 eV/atom. The calculation puts the density of states at the Fermi level at 3.53 states/eV per cell. The formation energy comes out at -0.720 eV/atom.

Unit cell a=4.6879 b=4.6879 c=5.6743 alpha=90.00 beta=90.00 gamma=120.00
With the nearest neighbours (Å) after each atom.
Atoms (fractional coordinates):
Au (0.0000, 0.0000, 0.0000)  8 Au 2.84-3.06, 6 Sc 3.06
Au (0.0000, 0.0000, 0.5000)  8 Au 2.84-3.06, 6 Sc 3.06
Au (0.6667, 0.3333, 0.7500)  5 Sc 2.71-2.84
Au (0.3333, 0.6667, 0.2500)  5 Sc 2.71-2.84
Sc (0.6667, 0.3333, 0.2500)  5 Au 2.71-2.84
Sc (0.3333, 0.6667, 0.7500)  5 Au 2.71-2.84


A relaxed structure of KMn2Ag. Source: Alexandria via LeMat-Bulk, functional PBEsol.

The value obtained for the total energy is -4.92 eV/atom. The calculation puts the density of states at the Fermi level at 3.47 states/eV per cell. The formation energy comes out at 1.067 eV/atom. The calculation puts the relative energy among the computed polymorphs at 198.6 meV/atom.

Unit cell a=2.9695 b=5.0833 c=5.1870 alpha=90.00 beta=90.00 gamma=90.00
With the nearest neighbours (Å) after each atom.
Atoms (fractional coordinates):
Ag (0.5000, 0.0000, 0.5000)  4 K 2.94, 2 Ag 2.97, 4 Mn 2.99
K (0.0000, 0.5000, 0.5000)  4 Ag 2.94, 2 K 2.97, 4 Mn 2.99
Mn (0.0000, 0.0000, 0.0000)  6 Mn 2.94-2.97, 4 Ag 2.99
Mn (0.5000, 0.5000, 0.0000)  6 Mn 2.94-2.97, 4 K 2.99


A relaxed structure of KTeC3. Source: Alexandria via LeMat-Bulk, functional PBEsol.

The value obtained for the total energy is -4.09 eV/atom. The calculation puts the density of states at the Fermi level at 4.00 states/eV per cell. For the formation energy from raw total energies, the calculation gives 2630.2 meV per atom.

Unit cell a=4.3090 b=4.3090 c=4.3090 alpha=90.00 beta=90.00 gamma=90.00
With the nearest neighbours (Å) after each atom.
Atoms (fractional coordinates):
K (0.5000, 0.5000, 0.5000)  12 C 3.05
Te (0.0000, 0.0000, 0.0000)  6 C 2.15
C (0.0000, 0.5000, 0.0000)  2 Te 2.15
C (0.0000, 0.0000, 0.5000)  2 Te 2.15
C (0.5000, 0.0000, 0.0000)  2 Te 2.15


A relaxed structure of RbLa3W. Source: Alexandria via LeMat-Bulk, functional PBEsol.

The value obtained for the total energy is -5.57 eV/atom. The calculation puts the density of states at the Fermi level at 6.77 states/eV per cell. The formation energy comes out at 0.602 eV/atom.

Unit cell a=5.7100 b=5.7100 c=5.7100 alpha=90.00 beta=90.00 gamma=90.00
With the nearest neighbours (Å) after each atom.
Atoms (fractional coordinates):
Rb (0.5000, 0.5000, 0.5000)  12 La 4.04
W (0.0000, 0.0000, 0.0000)  6 La 2.86
La (0.0000, 0.5000, 0.0000)  2 W 2.86
La (0.0000, 0.0000, 0.5000)  2 W 2.86
La (0.5000, 0.0000, 0.0000)  2 W 2.86


A relaxed structure of HfBeCrSn2. Source: Alexandria via LeMat-Bulk, functional PBEsol.

The value obtained for the total energy is -5.94 eV/atom. The calculation puts the density of states at the Fermi level at 4.38 states/eV per cell. The formation energy comes out at 0.716 eV/atom.

Unit cell a=4.1425 b=4.8488 c=4.8488 alpha=90.00 beta=90.00 gamma=90.00
With the nearest neighbours (Å) after each atom.
Atoms (fractional coordinates):
Cr (0.0000, 0.0000, 0.0000)  2 Be 2.07
Hf (0.5000, 0.5000, 0.5000)  8 Sn 3.19, 4 Be 3.43
Sn (0.0000, 0.0000, 0.5000)  2 Cr 2.42
Sn (0.0000, 0.5000, 0.0000)  2 Cr 2.42
Be (0.5000, 0.0000, 0.0000)  2 Cr 2.07